Tl5BiPb4 | GGA-PBE | optimized geometry

For the formation energy, the calculation gives -0.13 eV/f.u. As for the density: 11.0 g/cm³.

The structure in POSCAR format:
```
Tl5BiPb4
1.0
3.519 0.000 0.000
0.000 3.519 0.000
0.000 0.000 25.111
Tl Bi Pb
5 1 4
Direct
0.000 0.000 0.000 Tl
0.000 0.000 0.198 Tl
0.000 0.000 0.399 Tl
0.000 0.000 0.601 Tl
0.000 0.000 0.802 Tl
0.500 0.500 0.500 Bi
0.500 0.500 0.099 Pb
0.500 0.500 0.298 Pb
0.500 0.500 0.702 Pb
0.500 0.500 0.901 Pb
```

---

TlBi2Pb3 | GGA-PBE | optimized geometry

For the formation energy, the calculation gives 0.19 eV/f.u. As for the density: 10.2 g/cm³.

The structure in POSCAR format:
```
TlBi2Pb3
1.0
8.845 -2.288 0.000
8.845 2.288 0.000
-3.969 0.000 10.004
Tl Bi Pb
2 4 6
Direct
0.114 0.114 0.075 Tl
0.886 0.886 0.925 Tl
0.233 0.233 0.869 Bi
0.500 0.500 0.180 Bi
0.500 0.500 0.820 Bi
0.767 0.767 0.131 Bi
0.061 0.061 0.404 Pb
0.300 0.300 0.625 Pb
0.372 0.372 0.328 Pb
0.628 0.628 0.672 Pb
0.700 0.700 0.375 Pb
0.939 0.939 0.596 Pb
```

---

Tl3Bi3Pb8 | GGA-PBE | optimized geometry

For the formation energy, the calculation gives 0.69 eV/f.u. As for the density: 10.4 g/cm³.

The structure in POSCAR format:
```
Tl3Bi3Pb8
1.0
-2.744 6.450 6.550
2.744 -6.450 6.550
2.744 6.450 -6.550
Tl Bi Pb
3 3 8
Direct
0.000 0.000 0.000 Tl
0.279 0.000 0.279 Tl
0.721 0.000 0.721 Tl
0.347 0.847 0.500 Bi
0.500 0.500 0.000 Bi
0.653 0.153 0.500 Bi
0.006 0.376 0.630 Pb
0.126 0.270 0.856 Pb
0.254 0.624 0.630 Pb
0.414 0.270 0.144 Pb
0.586 0.730 0.856 Pb
0.746 0.376 0.370 Pb
0.874 0.730 0.144 Pb
0.994 0.624 0.370 Pb
```

---

Tl4Bi2Pb5 | GGA-PBE | optimized geometry

For the formation energy, the calculation gives 0.53 eV/f.u. As for the density: 10.8 g/cm³. Its energy above the most stable polymorph in this dataset is 37 meV per atom.

The structure in POSCAR format:
```
Tl4Bi2Pb5
1.0
1.764 1.019 32.388
-1.764 1.019 32.388
0.000 -2.037 32.388
Tl Bi Pb
4 2 5
Direct
0.089 0.089 0.089 Tl
0.182 0.182 0.182 Tl
0.818 0.818 0.818 Tl
0.911 0.911 0.911 Tl
0.364 0.364 0.364 Bi
0.636 0.636 0.636 Bi
0.000 0.000 0.000 Pb
0.122 0.122 0.122 Pb
0.273 0.273 0.273 Pb
0.727 0.727 0.727 Pb
0.878 0.878 0.878 Pb
```